DFT (PBE) results for crystalline Be2TcW at its relaxed geometry.

Cell: 8.1732 8.1732 8.1732 Å, 19.24 19.24 19.24°
With the nearest neighbours (Å) after each atom.
Sites, in units of the cell vectors:
Tc: 0.5067 0.5067 0.5067  3 Be 2.48, 6 Tc 2.73, 3 W 2.75
Be: 0.9941 0.9941 0.9941  3 Be 2.39, 3 W 2.60
W: 0.7465 0.7465 0.7465  3 Be 2.60, 6 W 2.73, 3 Tc 2.75
Be: 0.2527 0.2527 0.2527  3 Be 2.39, 3 Tc 2.48

DOS at the Fermi energy = 3.42 states/eV per cell
SG = R3m, No. 160
total magnetic moment = 0.000 μB/f.u.
E_form = 1.43 eV/f.u.
crystal system = trigonal

DFT (PBE) results for crystalline Tb5PrHo7 at its relaxed geometry.

Cell: 6.6682 8.6809 8.6809 Å, 79.43 67.41 67.41°
With the nearest neighbours (Å) after each atom.
Sites, in units of the cell vectors:
Ho: 0.0189 0.3127 0.6496  4 Ho 3.41-3.79, 5 Tb 3.43-3.49, 1 Pr 3.72
Tb: 0.0010 0.0027 0.4621  4 Ho 3.11-3.47, 2 Tb 3.11-3.38
Ho: 0.5183 0.8128 0.1506  5 Tb 3.47, 5 Ho 3.47-3.79, 2 Pr 3.87
Tb: 0.5342 0.0027 0.4621  4 Ho 3.11-3.47, 2 Tb 3.11-3.38
Tb: 0.5342 0.4621 0.0027  4 Ho 3.11-3.47, 2 Tb 3.11-3.38
Ho: 0.0189 0.6496 0.3127  4 Ho 3.41-3.79, 5 Tb 3.43-3.49, 1 Pr 3.72
Ho: 0.5183 0.1506 0.8128  5 Tb 3.47, 5 Ho 3.47-3.79, 2 Pr 3.87
Tb: 0.0010 0.4621 0.0027  4 Ho 3.11-3.47, 2 Tb 3.11-3.38
Ho: 0.5768 0.4232 0.4232  7 Ho 3.52-3.88, 4 Tb 3.71
Ho: 0.2727 0.7273 0.7273  6 Tb 3.33-3.49, 1 Pr 3.51, 1 Ho 3.52
Tb: 0.7705 0.7295 0.7295  6 Ho 3.33-3.47, 4 Tb 3.38
Pr: 0.9695 0.0305 0.0305  7 Ho 3.51-3.87, 4 Tb 3.79
Ho: 0.2658 0.2342 0.2342  4 Tb 3.11, 4 Ho 3.41-3.47

DOS at the Fermi energy = 22.52 states/eV per cell
SG = Imm2, No. 44
total magnetic moment = 0.001 μB/f.u.
E_form = 3.21 eV/f.u.
crystal system = orthorhombic

DFT (PBE) results for crystalline PbW2Br at its relaxed geometry.

Cell: 2.9830 2.9830 8.7449 Å, 90.00 90.00 90.00°
With the nearest neighbours (Å) after each atom.
Sites, in units of the cell vectors:
Br: 0.5000 0.5000 0.2500  8 W 2.96, 4 Br 2.98
Pb: 0.5000 0.5000 0.7500  4 Pb 2.98, 8 W 3.12
W: 0.0000 0.0000 0.4874  4 Br 2.96, 4 W 2.98, 4 Pb 3.12
W: 0.0000 0.0000 0.0126  4 Br 2.96, 4 W 2.98, 4 Pb 3.12

DOS at the Fermi energy = 3.41 states/eV per cell
uncorrected formation energy = 1.61 eV per atom
SG = P4/mmm, No. 123
total magnetic moment = 0.000 μB/f.u.
crystal system = tetragonal

DFT (PBE) results for crystalline CaHg4Pb3 at its relaxed geometry.

Cell: 3.6351 5.7864 10.8410 Å, 91.20 89.98 92.51°
With the nearest neighbours (Å) after each atom.
Sites, in units of the cell vectors:
Hg: 0.6875 0.2641 0.5002  5 Hg 3.10-3.47, 2 Pb 3.21
Hg: 0.5029 0.4880 0.2446  2 Hg 3.17-3.18, 2 Ca 3.21-3.23, 4 Pb 3.36-3.50
Hg: 0.3125 0.7359 0.4998  5 Hg 3.10-3.47, 2 Pb 3.21
Ca: 0.0000 0.5000 0.0000  4 Hg 3.21-3.23, 4 Pb 3.35-3.48
Pb: 0.9997 0.9900 0.2642  6 Hg 3.21-3.50, 2 Pb 3.39
Hg: 0.4971 0.5120 0.7554  2 Hg 3.17-3.18, 2 Ca 3.21-3.23, 4 Pb 3.36-3.50
Pb: 0.0003 0.0100 0.7358  6 Hg 3.21-3.50, 2 Pb 3.39
Pb: 0.5000 0.0000 0.0000  4 Ca 3.35-3.48, 6 Pb 3.39-3.64

DOS at the Fermi energy = 2.44 states/eV per cell
SG = P-1, No. 2
total magnetic moment = 0.000 μB/f.u.
E_form = -1.06 eV/f.u.
crystal system = triclinic

DFT (PBE) results for crystalline CoCuTe2I at its relaxed geometry.

Cell: 4.9297 4.9297 5.6188 Å, 90.00 90.00 90.00°
With the nearest neighbours (Å) after each atom.
Sites, in units of the cell vectors:
Te: 0.0000 0.5000 0.0000  2 Co 2.46
Te: 0.5000 0.0000 0.0000  2 Co 2.46
Co: 0.0000 0.0000 0.0000  4 Te 2.46
I: 0.0000 0.0000 0.5000  2 Co 2.81
Cu: 0.5000 0.5000 0.5000  4 I 3.49, 8 Te 3.74

DOS at the Fermi energy = 5.24 states/eV per cell
uncorrected formation energy = 0.65 eV per atom
SG = P4/mmm, No. 123
total magnetic moment = 1.434 μB/f.u.
crystal system = tetragonal

DFT (PBE) results for crystalline Li2LaCl at its relaxed geometry.

Cell: 6.3710 6.3710 5.2364 Å, 65.75 65.75 29.98°
With the nearest neighbours (Å) after each atom.
Sites, in units of the cell vectors:
Cl: 0.7500 0.7500 0.7500  4 Li 2.89, 4 La 3.09
Li: 0.4632 0.4632 0.5367  2 Cl 2.89, 4 Li 3.20
Li: 0.0368 0.0368 0.9633  2 Cl 2.89, 4 Li 3.20
La: 0.2500 0.2500 0.2500  4 Cl 3.09, 2 La 3.30

DOS at the Fermi energy = 1.54 states/eV per cell
uncorrected formation energy = -0.61 eV per atom
SG = Immm, No. 71
total magnetic moment = 0.286 μB/f.u.
crystal system = orthorhombic